Entry 1:
# Hf3ZnAg (meta-GGA SCAN, single point on PBEsol structure)
# * crystal system: cubic
# * DFT total energy: -45.81 eV/atom
data_Hf3ZnAg
_chemical_formula_sum 'Hf3 Zn1 Ag1'
_cell_length_a 4.8253
_cell_length_b 4.8253
_cell_length_c 4.8253
_cell_angle_alpha 90.00
_cell_angle_beta 90.00
_cell_angle_gamma 90.00
_symmetry_space_group_name_H-M 'P m -3 m'
_symmetry_Int_Tables_number 221
_symmetry_space_group_name_Hall '-P 4 2 3'
loop_
_atom_site_label
_atom_site_type_symbol
_atom_site_fract_x
_atom_site_fract_y
_atom_site_fract_z
_atom_site_occupancy
Hf1 Hf 0.0000 0.0000 0.5000 1
Zn1 Zn 0.0000 0.0000 0.0000 1
Ag1 Ag 0.5000 0.5000 0.5000 1

=====

Entry 2:
# AgHg (meta-GGA SCAN, single point on PBEsol structure)
# * crystal system: orthorhombic
# * relative energy among the computed polymorphs: 33 meV/atom
data_AgHg
_chemical_formula_sum 'Ag4 Hg4'
_cell_length_a 3.0183
_cell_length_b 10.8474
_cell_length_c 4.6584
_cell_angle_alpha 90.00
_cell_angle_beta 90.00
_cell_angle_gamma 90.00
_symmetry_space_group_name_H-M 'C m c m'
_symmetry_Int_Tables_number 63
_symmetry_space_group_name_Hall '-C 2c 2'
loop_
_atom_site_label
_atom_site_type_symbol
_atom_site_fract_x
_atom_site_fract_y
_atom_site_fract_z
_atom_site_occupancy
Ag1 Ag 0.0000 0.0746 0.2500 1
Hg1 Hg 0.0000 0.3380 0.2500 1

=====

Entry 3:
# Ag2Hg5 (meta-GGA SCAN, single point on PBEsol structure)
# * crystal system: tetragonal
# * DFT total energy: -57.60 eV/atom
data_Ag2Hg5
_chemical_formula_sum 'Ag4 Hg10'
_cell_length_a 9.8420
_cell_length_b 9.8420
_cell_length_c 2.9999
_cell_angle_alpha 90.00
_cell_angle_beta 90.00
_cell_angle_gamma 90.00
_symmetry_space_group_name_H-M 'P 4/m b m'
_symmetry_Int_Tables_number 127
_symmetry_space_group_name_Hall '-P 4 2ab'
loop_
_atom_site_label
_atom_site_type_symbol
_atom_site_fract_x
_atom_site_fract_y
_atom_site_fract_z
_atom_site_occupancy
Ag1 Ag 0.1822 0.3178 0.0000 1
Hg1 Hg 0.0000 0.5000 0.5000 1
Hg2 Hg 0.0610 0.7970 0.5000 1

=====

Entry 4:
# Ag11Hg9 (meta-GGA SCAN, single point on PBEsol structure)
# * crystal system: trigonal
# * DFT total energy: -47.86 eV/atom
data_Ag11Hg9
_chemical_formula_sum 'Ag11 Hg9'
_cell_length_a 3.0256
_cell_length_b 3.0256
_cell_length_c 47.5320
_cell_angle_alpha 90.00
_cell_angle_beta 90.00
_cell_angle_gamma 120.00
_symmetry_space_group_name_H-M 'P 3 m 1'
_symmetry_Int_Tables_number 156
_symmetry_space_group_name_Hall 'P 3 -2"'
loop_
_atom_site_label
_atom_site_type_symbol
_atom_site_fract_x
_atom_site_fract_y
_atom_site_fract_z
_atom_site_occupancy
Ag1 Ag 0.0000 0.0000 0.0000 1
Ag2 Ag 0.0000 0.0000 0.0937 1
Ag3 Ag 0.0000 0.0000 0.1939 1
Ag4 Ag 0.0000 0.0000 0.2879 1
Ag5 Ag 0.0000 0.0000 0.3876 1
Ag6 Ag 0.0000 0.0000 0.4869 1
Ag7 Ag 0.0000 0.0000 0.5862 1
Ag8 Ag 0.0000 0.0000 0.6854 1
Ag9 Ag 0.0000 0.0000 0.7843 1
Ag10 Ag 0.3333 0.6667 0.0467 1
Ag11 Ag 0.3333 0.6667 0.2409 1
Hg1 Hg 0.0000 0.0000 0.8919 1
Hg2 Hg 0.3333 0.6667 0.1438 1
Hg3 Hg 0.3333 0.6667 0.3377 1
Hg4 Hg 0.3333 0.6667 0.4372 1
Hg5 Hg 0.3333 0.6667 0.5365 1
Hg6 Hg 0.3333 0.6667 0.6358 1
Hg7 Hg 0.3333 0.6667 0.7348 1
Hg8 Hg 0.3333 0.6667 0.8343 1
Hg9 Hg 0.3333 0.6667 0.9499 1

=====

Results for volume: 22.47; 19.07; 20.76; 18.84 (in Å³/atom, following the order of the records).